1.
Below is crystalline Pa3Ge5Pd at its relaxed geometry, with properties calculated at the PBE level.

It has space group P6_3/mcm (No. 193), with a = 8.5123 Å, b = 8.5123 Å, c = 5.8204 Å, α = 90.00°, β = 90.00° and γ = 120.00°. The inequivalent atoms are Pa at (0.0000, 0.3864, 0.2500), Ge at (0.0000, 0.2622, 0.7500), Ge at (0.3333, 0.6667, 0.0000) and Pd at (0.0000, 0.0000, 0.0000).

The electronic total energy is -61.42 eV/f.u.

***

2.
Below is crystalline LiCaGa2Re at its relaxed geometry, with properties calculated at the PBE level.

It has space group P4/mmm (No. 123), with a = 4.826 Å, b = 4.826 Å, c = 4.857 Å, α = 90.00°, β = 90.00° and γ = 90.00°. The inequivalent atoms are Li at (0.000, 0.000, 0.000), Ca at (0.500, 0.500, 0.000), Ga at (0.000, 0.500, 0.500) and Re at (0.000, 0.000, 0.500).

The electronic total energy is -21.75 eV/f.u.

***

3.
Below is crystalline YBeIn at its relaxed geometry, with properties calculated at the PBE level.

It has space group Ima2 (No. 46), with a = 4.587 Å, b = 7.599 Å, c = 7.291 Å, α = 90.00°, β = 90.00° and γ = 90.00°. The inequivalent atoms are Y at (0.250, 0.218, 0.000), Be at (0.250, 0.564, 0.807) and In at (0.250, 0.612, 0.212).

The calculation puts the relative energy among the computed polymorphs at 0.38 eV per formula unit.

***

4.
Below is crystalline NpSbCl at its relaxed geometry, with properties calculated at the PBE level.

It has space group P-6m2 (No. 187), with a = 4.7203 Å, b = 4.7203 Å, c = 3.9613 Å, α = 90.00°, β = 90.00° and γ = 120.00°. The inequivalent atoms are Np at (0.0000, 0.0000, 0.0000), Sb at (0.6667, 0.3333, 0.5000) and Cl at (0.3333, 0.6667, 0.0000).

The formation energy from raw total energies comes out at -1.726 eV/f.u.

***

5.
Below is crystalline Dy4CdHg2Au at its relaxed geometry, with properties calculated at the PBE level.

It has space group R-3m (No. 166, hexagonal axes), with a = 5.2235 Å, b = 5.2235 Å, c = 25.5517 Å, α = 90.00°, β = 90.00° and γ = 120.00°. The inequivalent atoms are Dy at (0.0000, 0.0000, 0.1196), Dy at (0.0000, 0.0000, 0.3709), Cd at (0.0000, 0.0000, 0.5000), Hg at (0.0000, 0.0000, 0.2431) and Au at (0.0000, 0.0000, 0.0000).

The electronic total energy is -27.55 eV/f.u.

***

6.
Below is crystalline Ho5Pd4Pt at its relaxed geometry, with properties calculated at the PBE level.

It has space group P4/mmm (No. 123), with a = 3.465 Å, b = 3.465 Å, c = 17.712 Å, α = 90.00°, β = 90.00° and γ = 90.00°. The inequivalent atoms are Ho at (0.000, 0.000, 0.000), Ho at (0.000, 0.000, 0.201), Ho at (0.000, 0.000, 0.402), Pd at (0.500, 0.500, 0.100), Pd at (0.500, 0.500, 0.300) and Pt at (0.500, 0.500, 0.500).

The electronic total energy is -59.39 eV/f.u.

***

7.
Below is crystalline HfAl6Au at its relaxed geometry, with properties calculated at the PBE level.

It has space group R-3m (No. 166, hexagonal axes), with a = 8.8890 Å, b = 8.8890 Å, c = 6.6286 Å, α = 90.00°, β = 90.00° and γ = 120.00°. The inequivalent atoms are Hf at (0.0000, 0.0000, 0.0000), Al at (0.0298, 0.5149, 0.3085) and Au at (0.0000, 0.0000, 0.5000).

The electronic total energy is -36.61 eV/f.u.

***

8.
Below is crystalline Na2CaLa2 at its relaxed geometry, with properties calculated at the PBE level.

It has space group P4/mbm (No. 127), with a = 10.076 Å, b = 10.076 Å, c = 3.712 Å, α = 90.00°, β = 90.00° and γ = 90.00°. The inequivalent atoms are Na at (0.109, 0.391, 0.000), Ca at (0.000, 0.000, 0.000) and La at (0.192, 0.692, 0.500).

The calculation puts the relative energy among the computed polymorphs at 0.00 eV per formula unit.

***

9.
Below is crystalline CaEr2C at its relaxed geometry, with properties calculated at the PBE level.

It has space group P-3m1 (No. 164), with a = 3.6100 Å, b = 3.6100 Å, c = 9.2720 Å, α = 90.00°, β = 90.00° and γ = 120.00°. The inequivalent atoms are Ca at (0.0000, 0.0000, 0.0000), Er at (0.3333, 0.6667, 0.6419) and C at (0.0000, 0.0000, 0.5000).

The calculation puts the relative energy among the computed polymorphs at 0.00 eV per formula unit.

***

10.
Below is crystalline SmDy2Ho4Er2 at its relaxed geometry, with properties calculated at the PBE level.

It has space group C2/m (No. 12), with a = 18.516 Å, b = 3.567 Å, c = 9.473 Å, α = 90.00°, β = 115.72° and γ = 90.00°. The inequivalent atoms are Sm at (0.000, 0.000, 0.000), Dy at (0.148, 0.000, 0.666), Ho at (0.019, 0.500, 0.335), Ho at (0.186, 0.000, 0.335) and Er at (0.168, 0.500, 0.001).

The electronic total energy is -41.36 eV/f.u.

***

11.
Below is crystalline VZnTc3 at its relaxed geometry, with properties calculated at the PBE level.

It has space group Pm-3m (No. 221), with a = 4.461 Å, b = 4.461 Å, c = 4.461 Å, α = 90.00°, β = 90.00° and γ = 90.00°. The inequivalent atoms are V at (0.000, 0.000, 0.000), Zn at (0.500, 0.500, 0.500) and Tc at (0.000, 0.500, 0.500).

The calculation puts the relative energy among the computed polymorphs at 2.40 eV per formula unit.

***

12.
Below is crystalline LiTbNdTe3 at its relaxed geometry, with properties calculated at the PBE level.

It has space group P2_1/m (No. 11), with a = 9.025 Å, b = 4.289 Å, c = 9.538 Å, α = 90.00°, β = 103.63° and γ = 90.00°. The inequivalent atoms are Li at (0.085, 0.250, 0.086), Tb at (0.332, 0.750, 0.341), Nd at (0.189, 0.250, 0.733), Te at (0.091, 0.250, 0.375), Te at (0.231, 0.750, 0.001) and Te at (0.431, 0.750, 0.677).

The formation energy from raw total energies comes out at -7.729 eV/f.u.

***

13.
Below is crystalline NaNdY at its relaxed geometry, with properties calculated at the PBE level.

It has space group P3m1 (No. 156), with a = 3.6061 Å, b = 3.6061 Å, c = 9.2486 Å, α = 90.00°, β = 90.00° and γ = 120.00°. The inequivalent atoms are Na at (0.0000, 0.0000, 0.0000), Nd at (0.3333, 0.6667, 0.6481) and Y at (0.6667, 0.3333, 0.3439).

The calculation puts the relative energy among the computed polymorphs at 0.00 eV per formula unit.

***

14.
Below is crystalline Tb3Pr6Mg at its relaxed geometry, with properties calculated at the PBE level.

It has space group Pnnm (No. 58), with a = 10.570 Å, b = 12.058 Å, c = 5.410 Å, α = 90.00°, β = 90.00° and γ = 90.00°. The inequivalent atoms are Tb at (0.000, 0.000, 0.000), Tb at (0.120, 0.217, 0.500), Pr at (0.068, 0.750, 0.000), Pr at (0.173, 0.582, 0.500), Pr at (0.211, 0.889, 0.500) and Mg at (0.000, 0.500, 0.000).

The calculation puts the relative energy among the computed polymorphs at 0.08 eV per formula unit.

***

15.
Below is crystalline La11Tb4Pm9 at its relaxed geometry, with properties calculated at the PBE level.

It has space group Cmmm (No. 65), with a = 17.411 Å, b = 26.374 Å, c = 3.730 Å, α = 90.00°, β = 90.00° and γ = 90.00°. The inequivalent atoms are La at (0.000, 0.000, 0.000), La at (0.000, 0.161, 0.000), La at (0.000, 0.369, 0.000), La at (0.208, 0.500, 0.000), La at (0.223, 0.181, 0.000), Tb at (0.158, 0.398, 0.500), Pm at (0.000, 0.500, 0.500), Pm at (0.102, 0.268, 0.500) and Pm at (0.140, 0.073, 0.500).

The electronic total energy is -113.99 eV/f.u.

***

16.
Below is crystalline Be2TlP at its relaxed geometry, with properties calculated at the PBE level.

It has space group Pmmm (No. 47), with a = 3.511 Å, b = 3.587 Å, c = 5.031 Å, α = 90.00°, β = 90.00° and γ = 90.00°. The inequivalent atoms are Be at (0.000, 0.000, 0.000), Be at (0.000, 0.500, 0.500), Tl at (0.500, 0.000, 0.500) and P at (0.500, 0.500, 0.000).

The calculation puts the relative energy among the computed polymorphs at 2.27 eV per formula unit.

***

17.
Below is crystalline NbAsP2S at its relaxed geometry, with properties calculated at the PBE level.

It has space group P4/mmm (No. 123), with a = 4.925 Å, b = 4.925 Å, c = 4.613 Å, α = 90.00°, β = 90.00° and γ = 90.00°. The inequivalent atoms are Nb at (0.000, 0.000, 0.000), As at (0.500, 0.500, 0.500), P at (0.000, 0.500, 0.000) and S at (0.000, 0.000, 0.500).

The calculation puts the relative energy among the computed polymorphs at 0.00 eV per formula unit. The formation energy from raw total energies comes out at 2.574 eV/f.u.

***

18.
Below is crystalline Ti12AlGe6 at its relaxed geometry, with properties calculated at the PBE level.

It has space group R-3 (No. 148, hexagonal axes), with a = 11.8844 Å, b = 11.8844 Å, c = 8.1556 Å, α = 90.00°, β = 90.00° and γ = 120.00°. The inequivalent atoms are Ti at (0.0490, 0.2380, 0.4060), Ti at (0.0559, 0.2338, 0.7602), Al at (0.0000, 0.0000, 0.5000) and Ge at (0.0664, 0.2424, 0.0907).

The electronic total energy is -131.17 eV/f.u.

***

19.
Below is crystalline Ac4SnN at its relaxed geometry, with properties calculated at the PBE level.

It has space group Cmcm (No. 63), with a = 10.239 Å, b = 8.491 Å, c = 10.780 Å, α = 90.00°, β = 90.00° and γ = 90.00°. The inequivalent atoms are Ac at (0.000, 0.230, 0.053), Ac at (0.193, 0.449, 0.750), Sn at (0.000, 0.106, 0.750) and N at (0.000, 0.377, 0.250).

The formation energy from raw total energies comes out at -3.184 eV/f.u.

***

20.
Below is crystalline CdInP2 at its relaxed geometry, with properties calculated at the PBE level.

It has space group F-43m (No. 216), with a = 6.842 Å, b = 6.842 Å, c = 6.842 Å, α = 90.00°, β = 90.00° and γ = 90.00°. The inequivalent atoms are Cd at (0.000, 0.000, 0.000), In at (0.250, 0.250, 0.750), P at (0.000, 0.000, 0.500) and P at (0.250, 0.250, 0.250).

The electronic total energy is -12.34 eV/f.u.

***

21.
Below is crystalline K2Sb3Pt2 at its relaxed geometry, with properties calculated at the PBE level.

It has space group C2/m (No. 12), with a = 12.536 Å, b = 4.360 Å, c = 8.418 Å, α = 90.00°, β = 120.65° and γ = 90.00°. The inequivalent atoms are K at (0.152, 0.000, 0.294), Sb at (0.000, 0.500, 0.500), Sb at (0.136, 0.500, 0.949) and Pt at (0.133, 0.000, 0.759).

The calculation puts the relative energy among the computed polymorphs at 0.20 eV per formula unit. The formation energy from raw total energies comes out at -2.693 eV/f.u.

***

22.
Below is crystalline Hf2Np at its relaxed geometry, with properties calculated at the PBE level.

It has space group I4/mmm (No. 139), with a = 3.713 Å, b = 3.713 Å, c = 9.784 Å, α = 90.00°, β = 90.00° and γ = 90.00°. The inequivalent atoms are Hf at (0.000, 0.000, 0.169) and Np at (0.000, 0.000, 0.500).

The electronic total energy is -31.63 eV/f.u.

***

23.
Below is crystalline CsCu2HgCl8 at its relaxed geometry, with properties calculated at the PBE level.

It has space group R-3 (No. 148, hexagonal axes), with a = 6.5342 Å, b = 6.5342 Å, c = 28.6164 Å, α = 90.00°, β = 90.00° and γ = 120.00°. The inequivalent atoms are Cs at (0.0000, 0.0000, 0.0000), Cu at (0.0000, 0.0000, 0.2421), Hg at (0.0000, 0.0000, 0.5000), Cl at (0.0000, 0.0000, 0.3191) and Cl at (0.0001, 0.3358, 0.8892).

The formation energy from raw total energies comes out at -7.918 eV/f.u.